Below is a relaxed structure of AlTlIn2Se, with properties calculated at the PBE level.

Cell: 5.518 6.070 5.518 Å, 90.00 90.00 90.00°
Fractional positions:
Al (0.500, 0.500, 0.500)
In (0.000, 0.000, 0.500)
In (0.500, 0.000, 0.000)
Tl (0.000, 0.500, 0.000)
Se (0.000, 0.000, 0.000)

Calculated values
SG	P4/mmm
ΔE to the lowest computed polymorph	1.44	eV per formula unit
VASP energy	-2.546	eV/atom
DOS(E_F)	4.40	states/eV/f.u.

Below is a relaxed structure of AlTl2InSe4, with properties calculated at the PBE level.

Cell: 7.313 7.285 6.771 Å, 118.05 118.20 97.20°
Fractional positions:
In (0.992, 0.492, 0.985)
Se (0.700, 0.632, 0.754)
Se (0.864, 0.463, 0.278)
Se (0.054, 0.122, 0.754)
Se (0.414, 0.815, 0.278)
Al (0.745, 0.745, 0.490)
Tl (0.180, 0.180, 0.360)
Tl (0.438, 0.938, 0.875)

Calculated values
SG	C2
VASP energy	-3.757	eV/atom
DOS(E_F)	0.00	states/eV/f.u.

Below is a relaxed structure of AlTlIn2Se, with properties calculated at the PBE level.

Cell: 5.325 5.354 5.325 Å, 90.00 90.00 90.00°
Fractional positions:
In (0.000, 0.000, 0.500)
In (0.500, 0.000, 0.000)
Se (0.500, 0.500, 0.500)
Al (0.000, 0.000, 0.000)
Tl (0.000, 0.500, 0.000)

Calculated values
SG	P4/mmm
ΔE to the lowest computed polymorph	0.00	eV per formula unit
VASP energy	-2.834	eV/atom
DOS(E_F)	1.56	states/eV/f.u.

Below is a relaxed structure of TmAlIn2Se6, with properties calculated at the PBE level.

Cell: 6.957 9.748 9.748 Å, 89.82 75.76 75.76°
Fractional positions:
Se (0.978, 0.705, 0.548)
Se (0.425, 0.895, 0.340)
Se (0.478, 0.548, 0.705)
Se (0.666, 0.814, 0.936)
Se (0.834, 0.064, 0.186)
Se (0.575, 0.105, 0.660)
Se (0.925, 0.340, 0.895)
Se (0.166, 0.936, 0.814)
Se (0.022, 0.295, 0.452)
Se (0.075, 0.660, 0.105)
Se (0.522, 0.452, 0.295)
Se (0.334, 0.186, 0.064)
Al (0.750, 0.842, 0.158)
Al (0.250, 0.158, 0.842)
In (0.883, 0.488, 0.681)
In (0.617, 0.319, 0.512)
In (0.383, 0.681, 0.488)
In (0.117, 0.512, 0.319)
Tm (0.250, 0.915, 0.085)
Tm (0.750, 0.085, 0.915)

Calculated values
SG	C2/c
VASP energy	-4.347	eV/atom

Below is a relaxed structure of U3AlIn3Se8, with properties calculated at the PBE level.

Cell: 8.138 8.137 9.142 Å, 116.40 89.99 120.01°
Fractional positions:
U (0.000, 0.500, 0.500)
U (0.500, 0.000, 0.500)
U (0.500, 0.500, 0.500)
Se (0.737, 0.475, 0.713)
Se (0.245, 0.026, 0.307)
Se (0.219, 0.974, 0.693)
Se (0.781, 0.563, 0.307)
Se (0.263, 0.525, 0.287)
Se (0.755, 0.974, 0.693)
Se (0.219, 0.437, 0.693)
Se (0.781, 0.026, 0.307)
In (0.500, 0.500, 0.000)
In (0.000, 0.500, 0.000)
In (0.000, 0.000, 0.000)
Al (0.000, 0.000, 0.500)

Calculated values
SG	R-3m
VASP energy	-5.702	eV/atom
DOS(E_F)	14.98	states/eV/f.u.

Below is a relaxed structure of AlVInSe2, with properties calculated at the PBE level.

Cell: 4.838 4.838 5.006 Å, 90.00 90.00 90.00°
Fractional positions:
Al (0.000, 0.000, 0.500)
Se (0.500, 0.000, 0.000)
Se (0.000, 0.500, 0.000)
In (0.500, 0.500, 0.500)
V (0.000, 0.000, 0.000)

Calculated values
SG	P4/mmm
VASP energy	-4.533	eV/atom
DOS(E_F)	3.11	states/eV/f.u.

Below is a relaxed structure of YAlIn2Se6, with properties calculated at the PBE level.

Cell: 7.026 9.750 9.750 Å, 90.22 75.74 75.74°
Fractional positions:
In (0.617, 0.320, 0.511)
In (0.383, 0.680, 0.489)
In (0.883, 0.489, 0.680)
In (0.117, 0.511, 0.320)
Al (0.750, 0.840, 0.160)
Al (0.250, 0.160, 0.840)
Se (0.982, 0.705, 0.549)
Se (0.832, 0.063, 0.188)
Se (0.518, 0.451, 0.295)
Se (0.070, 0.657, 0.106)
Se (0.930, 0.343, 0.894)
Se (0.018, 0.295, 0.451)
Se (0.482, 0.549, 0.705)
Se (0.430, 0.894, 0.343)
Se (0.570, 0.106, 0.657)
Se (0.668, 0.812, 0.937)
Se (0.332, 0.188, 0.063)
Se (0.168, 0.937, 0.812)
Y (0.750, 0.087, 0.913)
Y (0.250, 0.913, 0.087)

Calculated values
SG	C2/c
VASP energy	-4.556	eV/atom

Below is a relaxed structure of AlZnIn2Se6, with properties calculated at the PBE level.

Cell: 6.516 10.526 10.526 Å, 95.02 73.54 73.54°
Fractional positions:
Se (0.486, 0.396, 0.365)
Se (0.418, 0.180, 0.984)
Se (0.014, 0.635, 0.604)
Se (0.986, 0.365, 0.396)
Se (0.865, 0.375, 0.879)
Se (0.582, 0.820, 0.016)
Se (0.635, 0.121, 0.625)
Se (0.918, 0.984, 0.180)
Se (0.135, 0.625, 0.121)
Se (0.082, 0.016, 0.820)
Se (0.365, 0.879, 0.375)
Se (0.514, 0.604, 0.635)
Al (0.750, 0.188, 0.812)
Al (0.250, 0.812, 0.188)
Zn (0.250, 0.205, 0.795)
Zn (0.750, 0.795, 0.205)
In (0.707, 0.618, 0.820)
In (0.207, 0.820, 0.618)
In (0.793, 0.180, 0.382)
In (0.293, 0.382, 0.180)

Calculated values
SG	C2/c
VASP energy	-3.604	eV/atom
DOS(E_F)	1.35	states/eV/f.u.

Below is a relaxed structure of AlInSi2, with properties calculated at the PBE level.

Cell: 9.365 9.365 9.365 Å, 18.94 18.94 18.94°
Fractional positions:
In (0.750, 0.750, 0.750)
Si (0.985, 0.985, 0.985)
Si (0.253, 0.253, 0.253)
Al (0.512, 0.512, 0.512)

Calculated values
SG	R3m
ΔE to the lowest computed polymorph	0.26	eV per formula unit
VASP energy	-3.990	eV/atom
DOS(E_F)	1.02	states/eV/f.u.

Below is a relaxed structure of Al2InSi, with properties calculated at the PBE level.

Cell: 4.781 4.781 4.781 Å, 60.00 60.00 60.00°
Fractional positions:
Si (0.750, 0.750, 0.750)
Al (0.000, 0.000, 0.000)
Al (0.250, 0.250, 0.250)
In (0.500, 0.500, 0.500)

Calculated values
SG	F-43m
ΔE to the lowest computed polymorph	0.60	eV per formula unit
VASP energy	-3.575	eV/atom
DOS(E_F)	2.18	states/eV/f.u.

Below is a relaxed structure of Al2InSi, with properties calculated at the PBE level.

Cell: 3.745 3.060 6.975 Å, 78.69 90.00 90.00°
Fractional positions:
In (0.000, 0.695, 0.489)
Al (0.500, 0.339, 0.209)
Al (0.000, 0.946, 0.981)
Si (0.500, 0.519, 0.822)

Calculated values
SG	Pm
ΔE to the lowest computed polymorph	0.04	eV per formula unit
VASP energy	-3.716	eV/atom
DOS(E_F)	0.91	states/eV/f.u.

Below is a relaxed structure of AlInSi2, with properties calculated at the PBE level.

Cell: 2.919 2.919 9.116 Å, 90.00 90.00 103.66°
Fractional positions:
Al (0.000, 0.000, 0.463)
Si (0.000, 0.000, 0.044)
Si (0.500, 0.500, 0.240)
In (0.500, 0.500, 0.753)

Calculated values
SG	Cmm2
ΔE to the lowest computed polymorph	0.43	eV per formula unit
VASP energy	-3.947	eV/atom
DOS(E_F)	1.43	states/eV/f.u.

- Number 3 is which compound?
  AlTlIn2Se

- Which formula does entry 6 have?
  AlVInSe2

Copy entry 10 word for word.
Below is a relaxed structure of Al2InSi, with properties calculated at the PBE level.

Cell: 4.781 4.781 4.781 Å, 60.00 60.00 60.00°
Fractional positions:
Si (0.750, 0.750, 0.750)
Al (0.000, 0.000, 0.000)
Al (0.250, 0.250, 0.250)
In (0.500, 0.500, 0.500)

Calculated values
SG	F-43m
ΔE to the lowest computed polymorph	0.60	eV per formula unit
VASP energy	-3.575	eV/atom
DOS(E_F)	2.18	states/eV/f.u.

- Among the records above, which one has the highest VASP energy?
  number 1